Sm12Bi5Ir2: relaxed, PBE-GGA.

Properties
Calculated total energy = -5.461 eV per atom
Volume = 34.77 Å³/atom
Size of the total moment = 0.000 μB per formula unit

a = 18.0815 Å, b = 7.7448 Å, c = 9.8179 Å
α = 90.00°, β = 106.08°, γ = 90.00°
Space group C2/m (No. 12)
One atom of each set of equivalent atoms:
Sm 0.0019 0.0000 0.3288 [4 per cell]
Sm 0.0037 0.5000 0.7444 [4 per cell]
Sm 0.1431 0.2546 0.0616 [8 per cell]
Sm 0.1565 0.2585 0.5809 [8 per cell]
Bi 0.0000 0.0000 0.0000 [2 per cell]
Bi 0.1928 0.5000 0.3311 [4 per cell]
Bi 0.2098 0.5000 0.8631 [4 per cell]
Ir 0.0000 0.2963 0.5000 [4 per cell]